(1)
Computed, not measured: a relaxed structure of TbU2Se5 at the PBE-GGA level of DFT.

## Properties
Excess energy over the best structure of this formula in the dataset   0.017 eV per atom
Volume   23.05 Å³/atom
Formation energy from raw total energies   -1.2945 eV/atom
Raw total energy   -6.8732 eV per atom

CIF file:
```
data_TbU2Se5
_cell_length_a 8.5667
_cell_length_b 8.5667
_cell_length_c 8.5667
_cell_angle_alpha 129.11
_cell_angle_beta 129.11
_cell_angle_gamma 74.84
_space_group_name_H-M_alt 'P 1'
_space_group_IT_number 1
loop_
_space_group_symop_operation_xyz
'x,y,z'
loop_
_atom_site_label
_atom_site_type_symbol
_atom_site_fract_x
_atom_site_fract_y
_atom_site_fract_z
_atom_site_occupancy
Tb1 Tb 0.2500 0.2500 0.0000 1
Tb2 Tb 0.7500 0.7500 0.0000 1
U1 U 0.1171 0.6171 0.7343 1
U2 U 0.3829 0.1171 0.5000 1
U3 U 0.6171 0.8829 0.5000 1
U4 U 0.8829 0.3829 0.2657 1
Se1 Se 0.0000 0.0000 0.0000 1
Se2 Se 0.0251 0.1808 0.5000 1
Se3 Se 0.1808 0.6808 0.1557 1
Se4 Se 0.3192 0.4749 0.5000 1
Se5 Se 0.4749 0.9749 0.1557 1
Se6 Se 0.5000 0.5000 0.0000 1
Se7 Se 0.5251 0.0251 0.8443 1
Se8 Se 0.6808 0.5251 0.5000 1
Se9 Se 0.8192 0.3192 0.8443 1
Se10 Se 0.9749 0.8192 0.5000 1
```

(2)
Computed, not measured: a relaxed structure of KIr2Cl at the PBE-GGA level of DFT.

## Properties
Excess energy over the best structure of this formula in the dataset   0.433 eV per atom
Volume   27.01 Å³/atom
Formation energy from raw total energies   0.4791 eV/atom
Raw total energy   -4.6874 eV per atom

CIF file:
```
data_KIr2Cl
_cell_length_a 5.9323
_cell_length_b 5.9323
_cell_length_c 5.9323
_cell_angle_alpha 143.71
_cell_angle_beta 116.79
_cell_angle_gamma 75.13
_space_group_name_H-M_alt 'P 1'
_space_group_IT_number 1
loop_
_space_group_symop_operation_xyz
'x,y,z'
loop_
_atom_site_label
_atom_site_type_symbol
_atom_site_fract_x
_atom_site_fract_y
_atom_site_fract_z
_atom_site_occupancy
K1 K 0.0000 0.0000 0.0000 1
Ir1 Ir 0.4762 0.4762 0.0000 1
Ir2 Ir 0.6345 0.1345 0.5000 1
Cl1 Cl 0.2940 0.7940 0.5000 1
```

Please write out number 1 again, unchanged.
Computed, not measured: a relaxed structure of TbU2Se5 at the PBE-GGA level of DFT.

## Properties
Excess energy over the best structure of this formula in the dataset   0.017 eV per atom
Volume   23.05 Å³/atom
Formation energy from raw total energies   -1.2945 eV/atom
Raw total energy   -6.8732 eV per atom

CIF file:
```
data_TbU2Se5
_cell_length_a 8.5667
_cell_length_b 8.5667
_cell_length_c 8.5667
_cell_angle_alpha 129.11
_cell_angle_beta 129.11
_cell_angle_gamma 74.84
_space_group_name_H-M_alt 'P 1'
_space_group_IT_number 1
loop_
_space_group_symop_operation_xyz
'x,y,z'
loop_
_atom_site_label
_atom_site_type_symbol
_atom_site_fract_x
_atom_site_fract_y
_atom_site_fract_z
_atom_site_occupancy
Tb1 Tb 0.2500 0.2500 0.0000 1
Tb2 Tb 0.7500 0.7500 0.0000 1
U1 U 0.1171 0.6171 0.7343 1
U2 U 0.3829 0.1171 0.5000 1
U3 U 0.6171 0.8829 0.5000 1
U4 U 0.8829 0.3829 0.2657 1
Se1 Se 0.0000 0.0000 0.0000 1
Se2 Se 0.0251 0.1808 0.5000 1
Se3 Se 0.1808 0.6808 0.1557 1
Se4 Se 0.3192 0.4749 0.5000 1
Se5 Se 0.4749 0.9749 0.1557 1
Se6 Se 0.5000 0.5000 0.0000 1
Se7 Se 0.5251 0.0251 0.8443 1
Se8 Se 0.6808 0.5251 0.5000 1
Se9 Se 0.8192 0.3192 0.8443 1
Se10 Se 0.9749 0.8192 0.5000 1
```